No. 1
This record from Alexandria describes a relaxed Ta2NiAu crystal. The functional is GGA-PBE.

Cell and atoms, written as CIF:
```
data_Ta2NiAu
_symmetry_space_group_name_H-M 'P 1'
_symmetry_Int_Tables_number 1
_cell_length_a 4.540
_cell_length_b 4.540
_cell_length_c 4.540
_cell_angle_alpha 60.00
_cell_angle_beta 60.00
_cell_angle_gamma 60.00
loop_
_symmetry_equiv_pos_as_xyz
'x,y,z'
loop_
_atom_site_label
_atom_site_fract_x
_atom_site_fract_y
_atom_site_fract_z
_atom_site_occupancy
Ni1 0.000 0.000 0.000 1
Ta1 0.250 0.250 0.250 1
Ta2 0.750 0.750 0.750 1
Au1 0.500 0.500 0.500 1
```

energy above the most stable polymorph in this dataset = 1.24 eV/f.u.
total moment = 0.000 μB per formula unit



No. 2
This record from Alexandria describes a relaxed Na2Sr2Sn crystal. The functional is GGA-PBE.

Cell and atoms, written as CIF:
```
data_Na2Sr2Sn
_symmetry_space_group_name_H-M 'P 1'
_symmetry_Int_Tables_number 1
_cell_length_a 8.709
_cell_length_b 8.709
_cell_length_c 6.045
_cell_angle_alpha 90.00
_cell_angle_beta 90.00
_cell_angle_gamma 90.00
loop_
_symmetry_equiv_pos_as_xyz
'x,y,z'
loop_
_atom_site_label
_atom_site_fract_x
_atom_site_fract_y
_atom_site_fract_z
_atom_site_occupancy
Sn1 0.000 0.000 0.000 1
Sn2 0.500 0.500 0.000 1
Na1 0.150 0.650 0.500 1
Na2 0.650 0.850 0.500 1
Na3 0.350 0.150 0.500 1
Na4 0.850 0.350 0.500 1
Sr1 0.664 0.164 0.000 1
Sr2 0.164 0.336 0.000 1
Sr3 0.836 0.664 0.000 1
Sr4 0.336 0.836 0.000 1
```

energy above the most stable polymorph in this dataset = 1.21 eV/f.u.
total moment = 0.000 μB per formula unit



No. 3
This record from Alexandria describes a relaxed FeCo3H3 crystal. The functional is GGA-PBE.

Cell and atoms, written as CIF:
```
data_FeCo3H3
_symmetry_space_group_name_H-M 'P 1'
_symmetry_Int_Tables_number 1
_cell_length_a 3.674
_cell_length_b 3.674
_cell_length_c 3.674
_cell_angle_alpha 90.00
_cell_angle_beta 90.00
_cell_angle_gamma 90.00
loop_
_symmetry_equiv_pos_as_xyz
'x,y,z'
loop_
_atom_site_label
_atom_site_fract_x
_atom_site_fract_y
_atom_site_fract_z
_atom_site_occupancy
Co1 0.000 0.000 0.500 1
Co2 0.500 0.000 0.000 1
Co3 0.000 0.500 0.000 1
Fe1 0.500 0.500 0.500 1
H1 0.000 0.500 0.500 1
H2 0.500 0.500 0.000 1
H3 0.500 0.000 0.500 1
```

total DFT energy (no corrections) = -5.687 eV per atom
total moment = 6.168 μB per formula unit



No. 4
This record from Alexandria describes a relaxed Be2SnBi crystal. The functional is GGA-PBE.

Cell and atoms, written as CIF:
```
data_Be2SnBi
_symmetry_space_group_name_H-M 'P 1'
_symmetry_Int_Tables_number 1
_cell_length_a 6.098
_cell_length_b 6.098
_cell_length_c 6.667
_cell_angle_alpha 62.78
_cell_angle_beta 62.78
_cell_angle_gamma 90.00
loop_
_symmetry_equiv_pos_as_xyz
'x,y,z'
loop_
_atom_site_label
_atom_site_fract_x
_atom_site_fract_y
_atom_site_fract_z
_atom_site_occupancy
Be1 0.375 0.375 0.750 1
Be2 0.875 0.875 0.750 1
Be3 0.625 0.125 0.250 1
Be4 0.125 0.625 0.250 1
Bi1 0.750 0.250 0.500 1
Bi2 0.000 0.000 0.000 1
Sn1 0.250 0.750 0.500 1
Sn2 0.500 0.500 0.000 1
```

energy above the most stable polymorph in this dataset = 0.00 eV/f.u.
total moment = 0.000 μB per formula unit